Below is crystalline Ca2IrPd2 at its relaxed geometry, with properties calculated at the GGA-PBE level.

The space group is I4/mmm (No. 139) and the conventional cell measures 5.550, 5.550 and 7.590 Å, with angles of 90.00, 90.00 and 90.00 degrees. The distinct sites, in fractional coordinates, are Ca at (0.000, 0.500, 0.250), Ir at (0.000, 0.000, 0.000) and Pd at (0.000, 0.000, 0.334).

The density of states at the Fermi level is 8.77 states/eV per cell. Its formation energy is -0.17 eV/f.u. The calculation puts the total DFT energy (no corrections) at -46.8 eV for the cell shown. As for the theoretical density: 6894 kg/m³. As for the calculated volume: 23.375 A^3/atom.